The following is a DFT calculation (PBE with a Hubbard U) of PuTiNiO6 after structural relaxation.

- Magnetic moment: 8.0 Bohr magnetons per cell
- VASP energy: -8.308 eV per atom
- Symmetry: P-31c
- Crystal system: trigonal

Lattice parameters (Å, degrees): 5.2981 5.2981 8.8289 90.00 90.00 120.00
Last column: nearest neighbours and their distance in Å.
Sites, in units of the cell vectors:
Pu  0.3333  0.6667  0.2500  6 O 2.07
Pu  0.6667  0.3333  0.7500  6 O 2.07
Ti  0.3333  0.6667  0.7500  6 O 1.98
Ti  0.6667  0.3333  0.2500  6 O 1.98
Ni  0.0000  0.0000  0.0000  6 O 2.17
Ni  0.0000  0.0000  0.5000  6 O 2.17
O  0.0124  0.3505  0.6322  1 Ti 1.98, 1 Pu 2.07, 1 Ni 2.17
O  0.0124  0.6619  0.8678  1 Ti 1.98, 1 Pu 2.07, 1 Ni 2.17
O  0.3381  0.3505  0.8678  1 Ti 1.98, 1 Pu 2.07, 1 Ni 2.17
O  0.3381  0.9876  0.6322  1 Ti 1.98, 1 Pu 2.07, 1 Ni 2.17
O  0.3505  0.0124  0.1322  1 Ti 1.98, 1 Pu 2.07, 1 Ni 2.17
O  0.3505  0.3381  0.3678  1 Ti 1.98, 1 Pu 2.07, 1 Ni 2.17
O  0.6495  0.6619  0.6322  1 Ti 1.98, 1 Pu 2.07, 1 Ni 2.17
O  0.6495  0.9876  0.8678  1 Ti 1.98, 1 Pu 2.07, 1 Ni 2.17
O  0.6619  0.0124  0.3678  1 Ti 1.98, 1 Pu 2.07, 1 Ni 2.17
O  0.6619  0.6495  0.1322  1 Ti 1.98, 1 Pu 2.07, 1 Ni 2.17
O  0.9876  0.3381  0.1322  1 Ti 1.98, 1 Pu 2.07, 1 Ni 2.17
O  0.9876  0.6495  0.3678  1 Ti 1.98, 1 Pu 2.07, 1 Ni 2.17